# 1
The following is a PBE calculation of RbPbI2Br after structural relaxation, from Alexandria via LeMat-Bulk.

Calculated values
Total moment, μB/atom: 0.000
Energy relative to the lowest polymorph listed for this composition, meV per atom: 0
D(E_F), states/eV per cell: 0.00
Symmetry: I4/mcm
Energy relative to the elements, uncorrected, eV per atom: -1.06
V, Å³/cell: 469.17

The structure in POSCAR format:
```
RbPbI2Br
1.0
-4.410 4.410 6.030
4.410 -4.410 6.030
4.410 4.410 -6.030
Rb Pb I Br
2 2 4 2
Cartesian
4.410 0.000 3.015
0.000 4.410 3.015
0.000 0.000 0.000
0.000 0.000 6.030
6.010 1.599 0.000
1.599 2.811 0.000
2.811 1.599 6.030
-1.599 2.811 6.030
0.000 0.000 3.015
0.000 0.000 9.045
```


# 2
The following is a PBE calculation of Ba2InHg4 after structural relaxation, from Alexandria via LeMat-Bulk.

Calculated values
Total moment, μB/atom: 0.000
D(E_F), states/eV per cell: 4.29
Symmetry: Fmmm
ΔH_f (0 K), eV/f.u.: -1.94
V, Å³/cell: 273.73

The structure in POSCAR format:
```
Ba2InHg4
1.0
0.000 4.678 8.841
3.310 0.000 8.841
3.310 4.678 0.000
Ba In Hg
2 1 4
Cartesian
3.310 4.678 2.187
3.310 4.678 15.494
3.310 4.678 8.841
1.655 2.339 0.000
3.310 4.678 5.621
1.655 2.339 8.841
3.310 4.678 12.060
```


# 3
The following is a PBE calculation of NbReRu2Au after structural relaxation, from Alexandria via LeMat-Bulk.

Calculated values
Total moment, μB/atom: 0.000
D(E_F), states/eV per cell: 5.68
Symmetry: P4/mmm
ΔH_f (0 K), eV/f.u.: 7.05
V, Å³/cell: 104.57

The structure in POSCAR format:
```
NbReRu2Au
1.0
4.650 0.000 0.000
0.000 4.650 0.000
0.000 0.000 4.837
Nb Re Ru Au
1 1 2 1
Cartesian
0.000 0.000 0.000
0.000 0.000 2.418
0.000 2.325 2.418
2.325 0.000 2.418
2.325 2.325 0.000
```